## PaCuPtRh (PBE)

Data for a geometry-optimized PaCuPtRh structure.

space group	F-43m
formation energy from the elements	-0.5675	eV/atom

Structure (extended XYZ):
```
4
Lattice="0.0000 3.2908 3.2908 3.2908 0.0000 3.2908 3.2908 3.2908 0.0000" Properties=species:S:1:pos:R:3 pbc="T T T"
Pa 0.0000 0.0000 0.0000
Cu 3.2908 3.2908 3.2908
Pt 4.9362 4.9362 4.9362
Rh 1.6454 1.6454 1.6454
```

## PaCuSbPt (PBE)

Data for a geometry-optimized PaCuSbPt structure.

space group	F-43m
uncorrected formation energy	-461	meV per atom

Structure (extended XYZ):
```
4
Lattice="0.0000 3.4138 3.4138 3.4138 0.0000 3.4138 3.4138 3.4138 0.0000" Properties=species:S:1:pos:R:3 pbc="T T T"
Pa 0.0000 0.0000 0.0000
Cu 5.1207 5.1207 5.1207
Sb 3.4138 3.4138 3.4138
Pt 1.7069 1.7069 1.7069
```

## ScPaCuPt (PBE)

Data for a geometry-optimized ScPaCuPt structure.

space group	F-43m
formation energy from the elements	-0.4750	eV/atom

Structure (extended XYZ):
```
4
Lattice="0.0000 3.4101 3.4101 3.4101 0.0000 3.4101 3.4101 3.4101 0.0000" Properties=species:S:1:pos:R:3 pbc="T T T"
Sc 0.0000 0.0000 0.0000
Pa 3.4101 3.4101 3.4101
Cu 1.7051 1.7051 1.7051
Pt 5.1152 5.1152 5.1152
```

## PaCuSi2Pt5 (PBE)

Data for a geometry-optimized PaCuSi2Pt5 structure.

space group	P4/mmm
uncorrected formation energy	-619	meV per atom

Structure (extended XYZ):
```
9
Lattice="4.1254 0.0000 0.0000 0.0000 4.1254 0.0000 0.0000 0.0000 9.0478" Properties=species:S:1:pos:R:3 pbc="T T T"
Pa 0.0000 0.0000 0.0000
Cu 0.0000 0.0000 4.5239
Si 2.0627 2.0627 3.4100
Si 2.0627 2.0627 5.6378
Pt 0.0000 2.0627 2.1692
Pt 0.0000 2.0627 6.8786
Pt 2.0627 0.0000 2.1692
Pt 2.0627 0.0000 6.8786
Pt 2.0627 2.0627 0.0000
```

## Pa2CuSi3Pt4 (PBE)

Data for a geometry-optimized Pa2CuSi3Pt4 structure.

space group	P-4m2
uncorrected formation energy	-859	meV per atom

Structure (extended XYZ):
```
10
Lattice="4.1739 0.0000 0.0000 0.0000 4.1739 0.0000 0.0000 0.0000 10.0369" Properties=species:S:1:pos:R:3 pbc="T T T"
Pa 0.0000 2.0870 2.4403
Pa 2.0870 0.0000 7.5966
Cu 2.0870 2.0870 0.0000
Si 0.0000 0.0000 0.0000
Si 0.0000 2.0870 6.3200
Si 2.0870 0.0000 3.7169
Pt 0.0000 0.0000 5.0185
Pt 0.0000 2.0870 8.6590
Pt 2.0870 0.0000 1.3779
Pt 2.0870 2.0870 5.0185
```

## PaCuSi2Pt (PBE)

Data for a geometry-optimized PaCuSi2Pt structure.

space group	I-4m2
uncorrected formation energy	-731	meV per atom

Structure (extended XYZ):
```
5
Lattice="-2.0322 2.0322 5.0285 2.0322 -2.0322 5.0285 2.0322 2.0322 -5.0285" Properties=species:S:1:pos:R:3 pbc="T T T"
Pa 0.0000 0.0000 0.0000
Cu 0.0000 2.0322 2.5142
Si 0.0000 0.0000 3.8689
Si 0.0000 0.0000 6.1880
Pt 2.0322 0.0000 2.5142
```

## PaCuSnPt (PBE)

Data for a geometry-optimized PaCuSnPt structure.

space group	F-43m
formation energy from the elements	-0.5187	eV/atom

Structure (extended XYZ):
```
4
Lattice="0.0000 3.4035 3.4035 3.4035 0.0000 3.4035 3.4035 3.4035 0.0000" Properties=species:S:1:pos:R:3 pbc="T T T"
Pa 0.0000 0.0000 0.0000
Cu 5.1053 5.1053 5.1053
Sn 3.4035 3.4035 3.4035
Pt 1.7018 1.7018 1.7018
```

## TmPaCuPt (PBE)

Data for a geometry-optimized TmPaCuPt structure.

space group	F-43m
formation energy from the elements	-0.4993	eV/atom

Structure (extended XYZ):
```
4
Lattice="0.0000 3.4707 3.4707 3.4707 0.0000 3.4707 3.4707 3.4707 0.0000" Properties=species:S:1:pos:R:3 pbc="T T T"
Tm 0.0000 0.0000 0.0000
Pa 3.4707 3.4707 3.4707
Cu 5.2060 5.2060 5.2060
Pt 1.7353 1.7353 1.7353
```

no.,magnetic moment (μB per formula unit)
1,0.00
2,0.00
3,0.00
4,0.00
5,0.00
6,0.00
7,0.00
8,0.00